Run 1
Material: CuIr2Rh
Method: DFT, GGA-PBEsol
State: relaxed

Density in g cm⁻³: 17.11
DOS at the Fermi energy in states/eV/cell: 3.71

Unit cell a=2.687 b=4.587 c=4.608 alpha=99.76 beta=90.00 gamma=107.03
Fractional positions:
Ir (0.752, 0.503, 0.747)
Ir (0.248, 0.497, 0.253)
Rh (0.500, 0.000, 0.000)
Cu (0.000, 0.000, 0.500)


Run 2
Material: CuIr2Rh
Method: DFT, GGA-PBEsol
State: relaxed

Density in g cm⁻³: 17.13
DOS at the Fermi energy in states/eV/cell: 4.22

Unit cell a=2.695 b=3.741 c=5.295 alpha=90.00 beta=90.00 gamma=90.00
Fractional positions:
Ir (0.000, 0.000, 0.999)
Ir (0.500, 0.500, 0.247)
Rh (0.000, 0.000, 0.506)
Cu (0.500, 0.500, 0.748)


Run 3
Material: CuIr2Rh
Method: DFT, GGA-PBEsol
State: relaxed

Density in g cm⁻³: 17.10
DOS at the Fermi energy in states/eV/cell: 3.70

Unit cell a=2.684 b=2.684 c=8.712 alpha=81.14 beta=81.14 gamma=60.00
Fractional positions:
Cu (0.000, 0.000, 0.000)
Ir (0.251, 0.251, 0.246)
Ir (0.749, 0.749, 0.754)
Rh (0.500, 0.500, 0.500)


Run 4
Material: CuIr2Rh
Method: DFT, GGA-PBEsol
State: relaxed

Density in g cm⁻³: 17.18
DOS at the Fermi energy in states/eV/cell: 4.32

Unit cell a=3.756 b=3.756 c=4.615 alpha=114.01 beta=114.01 gamma=90.00
Fractional positions:
Ir (0.000, 0.000, 0.000)
Ir (0.750, 0.250, 0.500)
Rh (0.500, 0.500, 0.000)
Cu (0.250, 0.750, 0.500)


The structure with the least stability is run 4.


Run 1
Material: CuIrRh2
Method: DFT, GGA-PBEsol
State: relaxed

Density in g cm⁻³: 14.50
DOS at the Fermi energy in states/eV/cell: 3.96

Unit cell a=2.678 b=4.586 c=4.575 alpha=99.76 beta=107.02 gamma=90.00
Fractional positions:
Rh (0.001, 0.006, 0.003)
Rh (0.251, 0.743, 0.503)
Cu (0.499, 0.503, 0.998)
Ir (0.748, 0.247, 0.496)


Run 2
Material: CuIrRh2
Method: DFT, GGA-PBEsol
State: relaxed

Density in g cm⁻³: 14.54
DOS at the Fermi energy in states/eV/cell: 3.18

Unit cell a=2.695 b=2.695 c=7.259 alpha=90.00 beta=90.00 gamma=90.00
Fractional positions:
Rh (0.000, 0.000, 0.246)
Rh (0.000, 0.000, 0.754)
Ir (0.500, 0.500, 0.500)
Cu (0.500, 0.500, 0.000)


The structure with the least stability is run 1.


Run 1
Material: CuIrRh2
Method: DFT, GGA-PBEsol
State: relaxed

Density in g cm⁻³: 14.53
DOS at the Fermi energy in states/eV/cell: 4.88

Unit cell a=2.686 b=3.728 c=5.269 alpha=90.00 beta=89.99 gamma=90.00
Fractional positions:
Ir (0.500, 0.500, 0.500)
Rh (0.000, 0.000, 0.752)
Rh (0.000, 0.000, 0.248)
Cu (0.500, 0.500, 0.000)


Run 2
Material: CuIrRh2
Method: DFT, GGA-PBEsol
State: relaxed

Density in g cm⁻³: 14.57
DOS at the Fermi energy in states/eV/cell: 4.87

Unit cell a=3.738 b=3.738 c=4.601 alpha=113.97 beta=113.97 gamma=90.00
Fractional positions:
Rh (0.250, 0.750, 0.500)
Rh (0.750, 0.250, 0.500)
Cu (0.500, 0.500, 0.000)
Ir (0.000, 0.000, 0.000)


Run 3
Material: CuIrRh2
Method: DFT, GGA-PBEsol
State: relaxed

Density in g cm⁻³: 14.44
DOS at the Fermi energy in states/eV/cell: 7.91

Unit cell a=2.661 b=4.602 c=4.602 alpha=109.68 beta=90.00 gamma=90.00
Fractional positions:
Cu (0.500, 0.000, 0.000)
Rh (0.000, 0.500, 0.000)
Rh (0.000, 0.000, 0.500)
Ir (0.500, 0.500, 0.500)


Run 4
Material: CuIrRh2
Method: DFT, GGA-PBEsol
State: relaxed

Density in g cm⁻³: 14.53
DOS at the Fermi energy in states/eV/cell: 4.67

Unit cell a=2.675 b=3.732 c=5.285 alpha=90.00 beta=90.00 gamma=90.00
Fractional positions:
Rh (0.500, 0.500, 0.255)
Rh (0.000, 0.000, 0.997)
Cu (0.000, 0.000, 0.499)
Ir (0.500, 0.500, 0.749)


The structure with the least stability is run 3.


Run 1
Material: CuIrRh2
Method: DFT, GGA-PBEsol
State: relaxed

Density in g cm⁻³: 14.49
DOS at the Fermi energy in states/eV/cell: 3.63

Unit cell a=2.674 b=2.674 c=8.683 alpha=81.21 beta=81.21 gamma=59.98
Fractional positions:
Ir (0.249, 0.249, 0.254)
Rh (0.000, 0.000, 0.999)
Rh (0.751, 0.751, 0.746)
Cu (0.500, 0.500, 0.501)


Run 2
Material: CuIrRh2
Method: DFT, GGA-PBEsol
State: relaxed

Density in g cm⁻³: 14.52
DOS at the Fermi energy in states/eV/cell: 4.26

Unit cell a=2.679 b=4.568 c=4.581 alpha=99.57 beta=107.00 gamma=90.00
Fractional positions:
Rh (0.748, 0.751, 0.496)
Rh (0.252, 0.249, 0.504)
Ir (0.000, 0.500, 0.000)
Cu (0.500, 0.000, 0.000)


The structure with the least stability is run 2.